Computed, not measured: a relaxed structure of Ac3SbI3 at the GGA-PBE level of DFT.

The value obtained for the formation energy without anion corrections is -1.238 eV/atom.

The structure in POSCAR format:
```
Ac3SbI3
1.0
-11.291 -0.579 -2.546
5.943 3.060 -9.467
3.666 -10.359 3.682
I Ac Sb
12 12 4
direct
0.007 0.250 0.993
0.243 0.993 0.986
0.014 0.507 0.757
0.257 0.743 0.250
0.750 0.757 0.743
0.243 0.250 0.757
0.750 0.993 0.507
0.486 0.743 0.993
0.007 0.757 0.514
0.493 0.986 0.743
0.257 0.514 0.507
0.493 0.507 0.250
0.760 0.010 0.020
0.740 0.480 0.490
0.980 0.490 0.240
0.250 0.240 0.260
0.520 0.260 0.010
0.510 0.020 0.260
0.740 0.260 0.750
0.250 0.010 0.490
0.990 0.240 0.480
0.990 0.750 0.010
0.510 0.490 0.750
0.760 0.750 0.240
0.000 0.000 0.250
0.500 0.250 0.500
0.750 0.250 0.250
0.750 0.500 0.000
```

=====

Computed, not measured: a relaxed structure of CdSiSbO6 at the GGA-PBE level of DFT.

The value obtained for the formation energy without anion corrections is -1.566 eV/atom.

The structure in POSCAR format:
```
CdSiSbO6
1.0
5.080 0.000 0.000
-2.540 4.400 0.000
0.000 0.000 9.631
Si O Sb Cd
2 12 2 2
direct
0.667 0.333 0.250
0.333 0.667 0.750
0.616 0.646 0.644
0.646 0.616 0.144
0.030 0.384 0.644
0.030 0.646 0.856
0.354 0.970 0.644
0.970 0.616 0.356
0.384 0.030 0.144
0.646 0.030 0.356
0.616 0.970 0.856
0.970 0.354 0.144
0.354 0.384 0.856
0.384 0.354 0.356
0.667 0.333 0.750
0.333 0.667 0.250
0.000 0.000 0.500
0.000 0.000 0.000
```

=====

Computed, not measured: a relaxed structure of HfRe2F at the GGA-PBE level of DFT.

The calculation puts the offset from the most stable computed form at 0.000 eV/atom. The value obtained for the formation energy without anion corrections is -0.123 eV/atom.

The structure in POSCAR format:
```
HfRe2F
1.0
3.545 0.000 0.000
0.000 3.545 0.000
1.773 1.773 10.490
F Re Hf
2 4 2
direct
0.250 0.750 0.500
0.500 0.500 0.000
0.875 0.890 0.750
0.640 0.125 0.250
0.110 0.625 0.250
0.375 0.360 0.750
0.750 0.250 0.500
0.000 0.000 0.000
```

=====

Computed, not measured: a relaxed structure of Ba2CdPb4Au3 at the GGA-PBE level of DFT.

The calculation puts the formation energy at -0.423 eV/atom.

The structure in POSCAR format:
```
Ba2CdPb4Au3
1.0
-2.576 1.031 4.170
3.487 -2.338 2.732
5.997 10.296 1.157
Pb Au Ba Cd
4 3 2 1
direct
0.500 0.000 0.633
0.000 0.000 0.000
0.500 0.500 0.000
0.000 0.500 0.367
0.000 0.000 0.500
0.500 0.000 0.868
0.000 0.500 0.132
0.000 0.500 0.745
0.500 0.000 0.255
0.500 0.500 0.500
```

=====

Computed, not measured: a relaxed structure of Ti7Co5Au at the GGA-PBE level of DFT.

The calculation puts the formation energy at -0.266 eV/atom.

The structure in POSCAR format:
```
Ti7Co5Au
1.0
-2.141 3.259 3.190
0.541 -1.900 6.282
4.168 4.702 1.972
Ti Co Au
7 5 1
direct
0.557 0.104 0.782
0.272 0.228 0.228
0.566 0.434 0.434
0.013 0.677 0.296
0.226 0.774 0.774
0.557 0.782 0.104
0.013 0.296 0.677
0.026 0.472 0.986
0.799 0.701 0.701
0.026 0.986 0.472
0.517 0.986 0.472
0.517 0.472 0.986
0.911 0.089 0.089
```

=====

Computed, not measured: a relaxed structure of SrNb3S at the GGA-PBE level of DFT.

The calculation puts the offset from the most stable computed form at 2.445 eV/atom. The value obtained for the formation energy without anion corrections is 2.704 eV/atom.

The structure in POSCAR format:
```
SrNb3S
1.0
-3.234 -2.276 -2.926
-1.155 -3.071 3.666
-3.523 3.097 1.484
S Sr Nb
1 1 3
direct
0.500 0.500 0.500
0.000 0.000 0.000
0.500 0.000 0.000
0.000 0.500 0.000
0.000 0.000 0.500
```

=====

Computed, not measured: a relaxed structure of SmCu3 at the GGA-PBE level of DFT.

The calculation puts the formation energy at 0.030 eV/atom.

The structure in POSCAR format:
```
SmCu3
1.0
-1.639 -2.766 -1.763
2.695 -0.004 -2.500
2.767 -3.544 2.987
Cu Sm
3 1
direct
0.000 0.000 0.879
0.500 0.000 0.580
0.500 0.500 0.879
0.000 0.500 0.329
```

=====

Computed, not measured: a relaxed structure of Be3Ru at the GGA-PBE level of DFT.

The calculation puts the formation energy at -0.217 eV/atom.

The structure in POSCAR format:
```
Be3Ru
1.0
-1.311 -3.061 1.783
-0.228 -3.298 -1.828
2.352 -2.819 0.889
Be Ru
3 1
direct
0.000 0.000 0.000
0.500 0.500 0.500
0.250 0.250 0.250
0.750 0.750 0.750
```

=====

Computed, not measured: a relaxed structure of Ho4Er3Ge4 at the GGA-PBE level of DFT.

The calculation puts the formation energy at -0.596 eV/atom.

The structure in POSCAR format:
```
Ho4Er3Ge4
1.0
-0.827 -2.994 -2.216
5.107 -5.035 4.897
-8.625 2.189 3.544
Ho Ge Er
4 4 3
direct
0.670 0.854 0.340
0.330 0.146 0.660
0.670 0.486 0.340
0.330 0.514 0.660
0.500 0.781 0.000
0.500 0.219 0.000
0.269 0.769 0.537
0.731 0.231 0.463
0.901 0.901 0.801
0.000 0.500 0.000
0.099 0.099 0.199
```

=====

Computed, not measured: a relaxed structure of La2Tb5Ho at the GGA-PBE level of DFT.

The calculation puts the formation energy at 0.027 eV/atom.

The structure in POSCAR format:
```
La2Tb5Ho
1.0
-0.672 -0.197 -5.062
4.869 -1.436 -0.591
-4.876 -8.908 3.573
Ho La Tb
1 2 5
direct
0.000 0.000 0.000
0.250 0.250 0.499
0.750 0.750 0.501
0.500 0.500 0.000
0.122 0.622 0.243
0.878 0.378 0.757
0.622 0.122 0.243
0.378 0.878 0.757
```

=====

Computed, not measured: a relaxed structure of La12TlRu6 at the GGA-PBE level of DFT.

The calculation puts the formation energy at -0.260 eV/atom.

The structure in POSCAR format:
```
La12TlRu6
1.0
8.450 0.000 -2.987
-4.225 7.318 -2.987
0.000 0.000 8.962
La Ru Tl
12 6 1
direct
0.118 0.806 0.312
0.688 0.495 0.806
0.194 0.312 0.505
0.806 0.688 0.495
0.505 0.194 0.312
0.495 0.806 0.688
0.688 0.882 0.194
0.312 0.118 0.806
0.312 0.505 0.194
0.806 0.312 0.118
0.194 0.688 0.882
0.882 0.194 0.688
0.866 0.366 0.500
0.366 0.500 0.866
0.500 0.134 0.634
0.134 0.634 0.500
0.500 0.866 0.366
0.634 0.500 0.134
0.000 0.000 0.000
```

=====

Computed, not measured: a relaxed structure of KRb2CdSn at the GGA-PBE level of DFT.

The calculation puts the offset from the most stable computed form at 0.000 eV/atom. The calculation puts the formation energy at 0.041 eV/atom.

The structure in POSCAR format:
```
KRb2CdSn
1.0
7.068 0.000 0.000
0.000 7.068 0.000
0.000 0.000 5.491
Rb K Cd Sn
2 1 1 1
direct
0.500 0.000 0.000
0.000 0.500 0.000
0.500 0.500 0.500
0.000 0.000 0.000
0.000 0.000 0.500
```

=====

M_tot, record by record: 0.00; 2.12; 0.00; 0.00; 0.00; 0.00; 0.00; 0.00; 0.94; 0.00; 0.00; 0.50 μB per cell